! Ni2C (GGA-PBE, relaxed); values from VASP
&SYSTEM
  ibrav = 0, nat = 6, ntyp = 2
/
ATOMIC_SPECIES
Ni 58.69 Ni.upf
C 12.01 C.upf
CELL_PARAMETERS angstrom
0.000 3.187 3.187
3.187 0.000 3.187
3.187 3.187 0.000
ATOMIC_POSITIONS angstrom
Ni 0.000 0.000 0.000
Ni 1.593 1.593 0.000
Ni 1.593 0.000 1.593
Ni 0.000 1.593 1.593
C 2.390 2.390 2.390
C 3.983 3.983 3.983
! DOS(E_F) in states/eV per cell: 5.1
! Energy of formation from the pure elements in meV/atom: 1955
! DFT total energy in eV per atom: -4.97
! Space-group type: Fd-3m, No. 227
! Relative energy among the computed polymorphs in eV per atom: 1.776
! Mass density in Mg/m³: 6.64